VASP calculation (PBE) on a relaxed SrP2IrO crystal.

Output
* energy relative to the lowest polymorph listed for this composition: 0.0 meV/atom
* V: 97.99 Å³ per cell
* electronic total energy: -0.2038 hartree per atom
* DOS at the Fermi energy: 1.5 states/eV/f.u.
* symmetry: P4/mmm, No. 123

Cell lengths 4.4890, 4.4890, 4.8627 Å; angles 90.00, 90.00, 90.00 degrees
Atoms (fractional coordinates):
Sr (0.5000, 0.5000, 0.5000)
Ir (0.0000, 0.0000, 0.0000)
O (0.0000, 0.0000, 0.5000)
P (0.0000, 0.5000, 0.0000)
P (0.5000, 0.0000, 0.0000)

=====

VASP calculation (PBE) on a relaxed La5Pm2Nd crystal.

Output
* energy relative to the lowest polymorph listed for this composition: 66.5 meV/atom
* V: 1158.18 Å³ per cell
* electronic total energy: -0.1758 hartree per atom
* ΔH_f (0 K): 61 kJ/mol of formula units
* DOS at the Fermi energy: 12.1 states/eV/f.u.
* symmetry: C2/c, No. 15

Cell lengths 6.5634, 12.3720, 15.2248 Å; angles 92.10, 77.55, 74.62 degrees
Atoms (fractional coordinates):
La (0.2017, 0.0011, 0.1632)
La (0.2913, 0.0914, 0.4913)
La (0.7848, 0.1811, 0.6394)
La (0.3755, 0.1899, 0.2864)
La (0.8518, 0.3101, 0.2136)
La (0.2622, 0.1667, 0.9702)
La (0.3990, 0.3333, 0.5298)
La (0.3661, 0.4989, 0.3368)
La (0.1260, 0.5914, 0.9913)
La (0.6053, 0.3189, 0.8606)
La (0.3947, 0.6811, 0.1394)
La (0.8740, 0.4086, 0.0087)
La (0.6339, 0.5011, 0.6632)
La (0.6010, 0.6667, 0.4702)
La (0.7378, 0.8333, 0.0298)
La (0.1482, 0.6899, 0.7864)
La (0.6245, 0.8101, 0.7136)
La (0.2152, 0.8189, 0.3606)
La (0.7087, 0.9086, 0.5087)
La (0.7983, 0.9989, 0.8368)
Pm (0.2807, 0.0982, 0.7390)
Pm (0.7485, 0.1153, 0.0603)
Pm (0.9241, 0.3847, 0.4397)
Pm (0.8821, 0.5982, 0.2390)
Pm (0.1179, 0.4018, 0.7610)
Pm (0.0759, 0.6153, 0.5603)
Pm (0.2515, 0.8847, 0.9397)
Pm (0.7193, 0.9018, 0.2610)
Nd (0.8555, 0.1161, 0.3830)
Nd (0.3546, 0.3839, 0.1170)
Nd (0.6454, 0.6161, 0.8830)
Nd (0.1445, 0.8839, 0.6170)

=====

VASP calculation (PBE) on a relaxed Rb2NbI4Cl2 crystal.

Output
* V: 360.52 Å³ per cell
* electronic total energy: -0.1310 hartree per atom
* DOS at the Fermi energy: 1.9 states/eV/f.u.
* symmetry: C2/m, No. 12

Cell lengths 6.6729, 7.7426, 7.7426 Å; angles 65.18, 84.25, 84.25 degrees
Site moments in Bohr magnetons follow the coordinates.
Atoms (fractional coordinates):
Rb (0.2299, 0.6567, 0.6567)  0.00
Rb (0.7701, 0.3433, 0.3433)  0.00
Nb (0.5000, 0.0000, 0.0000)  0.85
I (0.2923, 0.6563, 0.1442)  0.00
I (0.7077, 0.8558, 0.3437)  0.00
I (0.7077, 0.3437, 0.8558)  0.00
I (0.2923, 0.1442, 0.6563)  0.00
Cl (0.2387, 0.1408, 0.1408)  -0.02
Cl (0.7613, 0.8592, 0.8592)  -0.02

=====

VASP calculation (PBE) on a relaxed Ca2DyCuSe4 crystal.

Output
* V: 194.85 Å³ per cell
* electronic total energy: -0.1777 hartree per atom
* DOS at the Fermi energy: 0.3 states/eV/f.u.
* symmetry: P2/m, No. 10

Cell lengths 4.1049, 7.1001, 7.1366 Å; angles 110.48, 90.00, 90.00 degrees
Atoms (fractional coordinates):
Ca (0.5000, 0.0000, 0.5000)
Ca (0.0000, 0.5000, 0.5000)
Dy (0.5000, 0.5000, 0.0000)
Cu (0.0000, 0.0000, 0.0000)
Se (0.5000, 0.2339, 0.2250)
Se (0.5000, 0.7661, 0.7750)
Se (0.0000, 0.2555, 0.7554)
Se (0.0000, 0.7445, 0.2446)

=====

VASP calculation (PBE) on a relaxed Cs2LiHg crystal.

Output
* energy relative to the lowest polymorph listed for this composition: 0.0 meV/atom
* V: 224.50 Å³ per cell
* electronic total energy: -0.0356 hartree per atom
* ΔH_f (0 K): 5 kJ/mol of formula units
* DOS at the Fermi energy: 3.3 states/eV/f.u.
* symmetry: Fm-3m, No. 225

Cell lengths 6.8220, 6.8220, 6.8220 Å; angles 60.00, 60.00, 60.00 degrees
Atoms (fractional coordinates):
Cs (0.2500, 0.2500, 0.2500)
Cs (0.7500, 0.7500, 0.7500)
Hg (0.5000, 0.5000, 0.5000)
Li (0.0000, 0.0000, 0.0000)

=====

VASP calculation (PBE) on a relaxed Cu2RhSe crystal.

Output
* V: 59.16 Å³ per cell
* electronic total energy: -0.1639 hartree per atom
* DOS at the Fermi energy: 2.4 states/eV/f.u.
* symmetry: Cmm2, No. 35

Cell lengths 2.7700, 2.7700, 8.5736 Å; angles 90.00, 90.00, 115.94 degrees
Atoms (fractional coordinates):
Cu (0.0000, 0.0000, 0.0187)
Cu (0.5000, 0.5000, 0.2466)
Rh (0.0000, 0.0000, 0.4948)
Se (0.5000, 0.5000, 0.7399)

=====

VASP calculation (PBE) on a relaxed Ho4ZnCu2 crystal.

Output
* energy relative to the lowest polymorph listed for this composition: 0.0 meV/atom
* V: 328.53 Å³ per cell
* electronic total energy: -0.1519 hartree per atom
* ΔH_f (0 K): -112 kJ/mol of formula units
* DOS at the Fermi energy: 8.3 states/eV/f.u.
* symmetry: P1, No. 1

Cell lengths 6.6909, 9.4696, 8.4601 Å; angles 136.80, 108.99, 88.33 degrees
Atoms (fractional coordinates):
Ho (0.0412, 0.0684, 0.2779)
Ho (0.3038, 0.6965, 0.1646)
Ho (0.9701, 0.5915, 0.6410)
Ho (0.7358, 0.9881, 0.7546)
Ho (0.4904, 0.0874, 0.1613)
Ho (0.2308, 0.1524, 0.7789)
Ho (0.5329, 0.5715, 0.7629)
Ho (0.8202, 0.5488, 0.1627)
Zn (0.2963, 0.7462, 0.5789)
Zn (0.1521, 0.3341, 0.2266)
Cu (0.5128, 0.1710, 0.5933)
Cu (0.7434, 0.9392, 0.3583)
Cu (0.5310, 0.5078, 0.3340)
Cu (0.8892, 0.3472, 0.7051)

=====

VASP calculation (PBE) on a relaxed Pm2NdGd crystal.

Output
* energy relative to the lowest polymorph listed for this composition: 107.2 meV/atom
* V: 137.50 Å³ per cell
* electronic total energy: -0.2561 hartree per atom
* ΔH_f (0 K): 46 kJ/mol of formula units
* DOS at the Fermi energy: 7.2 states/eV/f.u.
* symmetry: Fm-3m, No. 225

Cell lengths 5.7935, 5.7935, 5.7935 Å; angles 60.00, 60.00, 60.00 degrees
Site moments in Bohr magnetons follow the coordinates.
Atoms (fractional coordinates):
Gd (0.0000, 0.0000, 0.0000)  7.36
Nd (0.5000, 0.5000, 0.5000)  0.18
Pm (0.2500, 0.2500, 0.2500)  0.23
Pm (0.7500, 0.7500, 0.7500)  0.23

=====

VASP calculation (PBE) on a relaxed Mg2V2W crystal.

Output
* energy relative to the lowest polymorph listed for this composition: 0.0 meV/atom
* V: 181.43 Å³ per cell
* electronic total energy: -0.2296 hartree per atom
* ΔH_f (0 K): 304 kJ/mol of formula units
* DOS at the Fermi energy: 4.9 states/eV/f.u.
* symmetry: P4/mbm, No. 127

Cell lengths 6.1939, 6.1939, 4.7291 Å; angles 90.00, 90.00, 90.00 degrees
Site moments in Bohr magnetons follow the coordinates.
Atoms (fractional coordinates):
Mg (0.1730, 0.6730, 0.5000)  0.00
Mg (0.6730, 0.8270, 0.5000)  0.00
Mg (0.8270, 0.3270, 0.5000)  0.00
Mg (0.3270, 0.1730, 0.5000)  0.00
W (0.0000, 0.0000, 0.0000)  -0.12
W (0.5000, 0.5000, 0.0000)  -0.12
V (0.3601, 0.8601, 0.0000)  0.53
V (0.8601, 0.6399, 0.0000)  0.53
V (0.6399, 0.1399, 0.0000)  0.53
V (0.1399, 0.3601, 0.0000)  0.53

=====

VASP calculation (PBE) on a relaxed SmPaPd14 crystal.

Output
* V: 267.44 Å³ per cell
* electronic total energy: -0.2159 hartree per atom
* ΔH_f (0 K): -682 kJ/mol of formula units
* DOS at the Fermi energy: 15.3 states/eV/f.u.
* symmetry: P4/mmm, No. 123

Cell lengths 5.8495, 5.8495, 7.8160 Å; angles 90.00, 90.00, 90.00 degrees
Atoms (fractional coordinates):
Sm (0.3750, 0.3750, 0.5000)
Pa (0.8750, 0.8750, 0.5000)
Pd (0.8750, 0.8750, 0.0000)
Pd (0.3750, 0.3750, 0.0000)
Pd (0.8750, 0.3750, 0.5000)
Pd (0.8750, 0.3750, 0.0000)
Pd (0.3750, 0.8750, 0.5000)
Pd (0.3750, 0.8750, 0.0000)
Pd (0.6303, 0.1197, 0.2441)
Pd (0.6303, 0.1197, 0.7559)
Pd (0.1197, 0.6303, 0.2441)
Pd (0.1197, 0.6303, 0.7559)
Pd (0.6302, 0.6302, 0.2441)
Pd (0.6302, 0.6302, 0.7559)
Pd (0.1198, 0.1198, 0.2441)
Pd (0.1198, 0.1198, 0.7559)

=====

VASP calculation (PBE) on a relaxed Nb12RuW6 crystal.

Output
* V: 348.04 Å³ per cell
* electronic total energy: -0.3903 hartree per atom
* ΔH_f (0 K): 584 kJ/mol of formula units
* DOS at the Fermi energy: 20.4 states/eV/f.u.
* symmetry: R-3m, No. 166

Cell lengths 7.2072, 7.2072, 7.2072 Å; angles 101.52, 101.52, 101.52 degrees
Atoms (fractional coordinates):
Nb (0.9211, 0.6619, 0.6619)
Nb (0.6619, 0.9211, 0.6619)
Nb (0.6619, 0.6619, 0.9211)
Nb (0.0789, 0.3381, 0.3381)
Nb (0.3381, 0.0789, 0.3381)
Nb (0.3381, 0.3381, 0.0789)
Nb (0.8950, 0.8950, 0.3239)
Nb (0.1050, 0.6761, 0.1050)
Nb (0.6761, 0.1050, 0.1050)
Nb (0.1050, 0.1050, 0.6761)
Nb (0.8950, 0.3239, 0.8950)
Nb (0.3239, 0.8950, 0.8950)
Ru (0.0000, 0.0000, 0.0000)
W (0.5000, 0.7640, 0.2360)
W (0.7640, 0.5000, 0.2360)
W (0.2360, 0.7640, 0.5000)
W (0.5000, 0.2360, 0.7640)
W (0.2360, 0.5000, 0.7640)
W (0.7640, 0.2360, 0.5000)

=====

VASP calculation (PBE) on a relaxed RbIn2Hg4Bi crystal.

Output
* V: 258.70 Å³ per cell
* electronic total energy: -0.0558 hartree per atom
* ΔH_f (0 K): -59 kJ/mol of formula units
* DOS at the Fermi energy: 4.7 states/eV/f.u.
* symmetry: P4/mmm, No. 123

Cell lengths 5.3002, 5.3002, 9.2091 Å; angles 90.00, 90.00, 90.00 degrees
Atoms (fractional coordinates):
Rb (0.0000, 0.0000, 0.0000)
In (0.5000, 0.5000, 0.1628)
In (0.5000, 0.5000, 0.8372)
Hg (0.0000, 0.5000, 0.3108)
Hg (0.5000, 0.0000, 0.6892)
Hg (0.5000, 0.0000, 0.3108)
Hg (0.0000, 0.5000, 0.6892)
Bi (0.0000, 0.0000, 0.5000)